The following is a DFT calculation (GGA-PBE) of crystalline SrLa2PrP4 at its relaxed geometry.

## Properties
The calculation puts the density of states at the Fermi level at 6.29 states/eV/f.u. The value obtained for the formation enthalpy at 0 K is -1.34 eV per atom. Its magnetic moment is 0.000 μB/atom.

abc: 7.398 4.280 7.436
angles: 90.00 109.53 90.00
Space group P2/m (No. 10)
Symmetry-distinct sites (fractional):
Sr1 0.000 0.000 0.000
La1 0.500 0.000 0.500
La2 0.500 0.500 0.000
Pr1 0.000 0.500 0.500
P1 0.252 0.000 0.744
P2 0.258 0.500 0.260



The following is a DFT calculation (GGA-PBE) of crystalline LaYSc2 at its relaxed geometry.

## Properties
The calculation puts the density of states at the Fermi level at 6.96 states/eV/f.u. As for the relative energy among the computed polymorphs: 15 meV per atom. The value obtained for the formation enthalpy at 0 K is 0.07 eV per atom. Its magnetic moment is 0.002 μB/atom.

abc: 3.4972 3.4972 33.0309
angles: 90.00 90.00 120.00
Space group R3m (No. 160, hexagonal axes)
Symmetry-distinct sites (fractional):
La1 0.0000 0.0000 0.0000
Y1 0.0000 0.0000 0.8338
Sc1 0.0000 0.0000 0.4183
Sc2 0.0000 0.0000 0.5824



The following is a DFT calculation (GGA-PBE) of crystalline ErNbFeCo at its relaxed geometry.

## Properties
The calculation puts the density of states at the Fermi level at 3.19 states/eV/f.u. The value obtained for the formation enthalpy at 0 K is 0.02 eV per atom. Its magnetic moment is 0.316 μB/atom.

abc: 6.353 6.353 6.353
angles: 90.00 90.00 90.00
Space group F-43m (No. 216)
Symmetry-distinct sites (fractional):
Er1 0.000 0.000 0.000
Nb1 0.000 0.000 0.500
Fe1 0.250 0.250 0.750
Co1 0.250 0.250 0.250



The following is a DFT calculation (GGA-PBE) of crystalline La9CeTm4 at its relaxed geometry.

## Properties
The calculation puts the density of states at the Fermi level at 28.72 states/eV/f.u. The value obtained for the formation enthalpy at 0 K is 0.13 eV per atom. Its magnetic moment is 0.000 μB/atom.

abc: 10.1002 10.1002 11.1695
angles: 90.00 90.00 120.00
Space group P6_3/mmc (No. 194)
Symmetry-distinct sites (fractional):
La1 0.0690 0.5345 0.2500
La2 0.2095 0.4190 0.5440
Ce1 0.3333 0.6667 0.7500
Tm1 0.0000 0.0000 0.0000
Tm2 0.1086 0.2173 0.2500



The following is a DFT calculation (GGA-PBE) of crystalline Sc2Cu2W at its relaxed geometry.

## Properties
The calculation puts the density of states at the Fermi level at 1.70 states/eV/f.u. The value obtained for the formation enthalpy at 0 K is 0.11 eV per atom. Its magnetic moment is 0.000 μB/atom.

abc: 7.471 7.471 2.990
angles: 90.00 90.00 90.00
Space group P4/mbm (No. 127)
Symmetry-distinct sites (fractional):
Sc1 0.180 0.320 0.000
Cu1 0.118 0.618 0.500
W1 0.000 0.000 0.500



The following is a DFT calculation (GGA-PBE) of crystalline Nb2InRh at its relaxed geometry.

## Properties
The calculation puts the density of states at the Fermi level at 4.50 states/eV/f.u. The value obtained for the formation enthalpy at 0 K is 0.31 eV per atom. Its magnetic moment is 0.000 μB/atom.

abc: 3.866 3.866 20.368
angles: 90.00 90.00 90.00
Space group I-42d (No. 122)
Symmetry-distinct sites (fractional):
Nb1 0.247 0.250 0.125
In1 0.000 0.000 0.000
Rh1 0.000 0.000 0.500



The following is a DFT calculation (GGA-PBE) of crystalline MgTe2W at its relaxed geometry.

## Properties
The calculation puts the density of states at the Fermi level at 3.98 states/eV/f.u. The raw total energy is -4.421 eV/atom. Its magnetic moment is 0.000 μB/atom.

abc: 3.5375 3.5375 27.5097
angles: 90.00 90.00 120.00
Space group R-3m (No. 166, hexagonal axes)
Symmetry-distinct sites (fractional):
Mg1 0.0000 0.0000 0.0000
Te1 0.0000 0.0000 0.4055
W1 0.0000 0.0000 0.5000



The following is a DFT calculation (GGA-PBE) of crystalline K2LiLa4O7 at its relaxed geometry.

## Properties
The calculation puts the density of states at the Fermi level at 1.88 states/eV/f.u. The raw total energy is -6.753 eV/atom. Its magnetic moment is 0.054 μB/atom.

abc: 6.179 12.287 7.634
angles: 90.00 95.39 90.00
Space group C2 (No. 5)
Symmetry-distinct sites (fractional):
K1 0.000 0.000 0.000
K2 0.000 0.414 0.000
Li1 0.000 0.876 0.500
La1 0.000 0.095 0.500
La2 0.000 0.419 0.500
La3 0.058 0.712 0.742
O1 0.000 0.783 0.000
O2 0.189 0.960 0.664
O3 0.193 0.543 0.701
O4 0.235 0.754 0.468



The following is a DFT calculation (GGA-PBE) of crystalline Pr8TmSc5 at its relaxed geometry.

## Properties
The calculation puts the density of states at the Fermi level at 22.62 states/eV/f.u. The value obtained for the formation enthalpy at 0 K is 0.27 eV per atom. Its magnetic moment is 0.000 μB/atom.

abc: 9.498 9.498 10.085
angles: 90.00 90.00 90.00
Space group I-4 (No. 82)
Symmetry-distinct sites (fractional):
Pr1 0.068 0.329 0.412
Pr2 0.096 0.175 0.749
Tm1 0.000 0.500 0.750
Sc1 0.000 0.000 0.500
Sc2 0.105 0.196 0.071



The following is a DFT calculation (GGA-PBE) of crystalline AlAg2I6 at its relaxed geometry.

## Properties
The calculation puts the density of states at the Fermi level at 5.95 states/eV/f.u. As for the relative energy among the computed polymorphs: 60 meV per atom. Its magnetic moment is 0.000 μB/atom.

abc: 7.293 7.293 12.315
angles: 90.00 90.00 90.00
Space group P4_2/mnm (No. 136)
Symmetry-distinct sites (fractional):
Al1 0.000 0.000 0.000
Ag1 0.000 0.000 0.332
I1 0.183 0.183 0.156
I2 0.201 0.201 0.500



The following is a DFT calculation (GGA-PBE) of crystalline SrMg2Zn4 at its relaxed geometry.

## Properties
The calculation puts the density of states at the Fermi level at 3.68 states/eV/f.u. As for the relative energy among the computed polymorphs: 703 meV per atom. The value obtained for the formation enthalpy at 0 K is 0.52 eV per atom. Its magnetic moment is 0.000 μB/atom.

abc: 5.591 5.591 14.717
angles: 90.00 90.00 90.00
Space group I4/mmm (No. 139)
Symmetry-distinct sites (fractional):
Sr1 0.000 0.000 0.000
Mg1 0.000 0.000 0.404
Zn1 0.000 0.000 0.216
Zn2 0.000 0.500 0.000



The following is a DFT calculation (GGA-PBE) of crystalline Pr2DyHoTm4 at its relaxed geometry.

## Properties
The calculation puts the density of states at the Fermi level at 18.39 states/eV/f.u. The value obtained for the formation enthalpy at 0 K is 0.43 eV per atom. Its magnetic moment is 0.234 μB/atom.

abc: 13.597 13.221 6.787
angles: 90.00 119.94 90.00
Space group C2/c (No. 15)
Symmetry-distinct sites (fractional):
Pr1 0.000 0.000 0.000
Pr2 0.250 0.250 0.000
Dy1 0.000 0.500 0.000
Ho1 0.250 0.250 0.500
Tm1 0.000 0.253 0.001
Tm2 0.246 0.498 0.495